This record from Alexandria via LeMat-Bulk describes a relaxed Pr6Nd8Sm crystal. The functional is PBE.

It has space group P-3 (No. 147), with a = 9.6420 Å, b = 9.6420 Å, c = 6.7657 Å, α = 90.00°, β = 90.00° and γ = 120.00°. The asymmetric unit holds Pr at (0.0836, 0.4308, 0.1594), Nd at (0.0281, 0.2822, 0.6622), Nd at (0.3333, 0.6667, 0.6090) and Sm at (0.0000, 0.0000, 0.0000).

The total energy comes out at -4.6098 eV per atom. The calculated formation energy comes out at 0.16 eV/atom.

=====

This record from Alexandria via LeMat-Bulk describes a relaxed CrTe3Se crystal. The functional is PBE.

It has space group Pm-3m (No. 221), with a = 5.422 Å, b = 5.422 Å, c = 5.422 Å, α = 90.00°, β = 90.00° and γ = 90.00°. The asymmetric unit holds Cr at (0.000, 0.000, 0.000), Te at (0.000, 0.500, 0.500) and Se at (0.500, 0.500, 0.500).

The total energy comes out at -3.7350 eV per atom. The formation energy from raw total energies comes out at 3.86 eV per formula unit.